VASP calculation (PBE) on a relaxed Co2BAs crystal.

Cell: 5.0118 3.1687 5.4882 Å, 90.00 90.06 90.00°
With the nearest neighbours (Å) after each atom.
Space group P2_1/m (No. 11)
Unique sites:
Co  0.0049  0.2500  0.3100 [2 per cell]  3 B 2.03-2.07
Co  0.4940  0.2500  0.3104 [2 per cell]  3 B 2.03-2.07
B  0.2496  0.7500  0.4033 [2 per cell]  6 Co 2.03-2.07
As  0.2506  0.2500  0.9255 [2 per cell]  6 Co 2.41-2.44

Values from the calculation:
The energy above the most stable polymorph in this dataset is 0 kJ/mol of formula units.